Entry 1:
A relaxed structure of PaGaRe. Source: the Alexandria database, functional GGA-PBE.

Lattice parameters (Å, degrees): 6.000 6.000 6.000 148.93 148.93 44.51
Atoms (fractional coordinates):
Pa (0.000, 0.000, 0.000)
Ga (0.290, 0.290, 0.000)
Re (0.665, 0.665, 0.000)

=====

Entry 2:
A relaxed structure of YTl2Ni. Source: the Alexandria database, functional GGA-PBE.

Lattice parameters (Å, degrees): 4.271 4.529 4.712 90.00 90.00 90.00
Atoms (fractional coordinates):
Y (0.000, 0.000, 0.000)
Tl (0.000, 0.500, 0.500)
Tl (0.500, 0.000, 0.500)
Ni (0.500, 0.500, 0.000)

=====

Entry 3:
A relaxed structure of NaAcPmAg. Source: the Alexandria database, functional GGA-PBE.

Lattice parameters (Å, degrees): 5.623 5.623 5.623 60.00 60.00 60.00
Atoms (fractional coordinates):
Na (0.000, 0.000, 0.000)
Ac (0.250, 0.250, 0.250)
Pm (0.750, 0.750, 0.750)
Ag (0.500, 0.500, 0.500)

=====

no.,DFT formation energy (eV/atom)
1,-0.10
2,-0.03
3,0.09